{"formula": "VNiPb3", "functional": "PBE", "state": "optimized geometry", "lattice": [[-4.746, 1.618, -1.047], [-1.457, -4.834, -0.864], [-1.261, -0.503, 4.939]], "species": ["Pb", "Pb", "Pb", "V", "Ni"], "frac_coords": [[0.500, 0.000, 0.000], [0.000, 0.000, 0.500], [0.000, 0.500, 0.000], [0.500, 0.500, 0.500], [0.000, 0.000, 0.000]], "space_group": "Pm-3m", "e_form_ev_per_fu": 3.3, "magnetic_moment_mub_per_fu": 3.83}